## CsKHg (PBE-GGA)

Data for a relaxed CsKHg crystal.

a = 4.580 Å, b = 16.155 Å, c = 4.580 Å
α = 90.00°, β = 90.01°, γ = 90.00°
Atoms (fractional coordinates):
Cs1 0.193 0.144 0.169
Cs2 0.193 0.856 0.169
K1 0.695 0.378 0.672
K2 0.695 0.622 0.672
Hg1 0.195 0.500 0.173
Hg2 0.693 0.000 0.668

Space group = No. 6
Density of states at the Fermi level = 4.63 states/eV/cell
Calculated total energy = -0.8891 eV per atom

---

## Cs2KHg (PBE-GGA)

Data for a relaxed Cs2KHg crystal.

a = 7.321 Å, b = 7.321 Å, c = 7.321 Å
α = 60.00°, β = 60.00°, γ = 60.00°
Atoms (fractional coordinates):
Cs1 0.250 0.250 0.250
Cs2 0.750 0.750 0.750
K1 0.000 0.000 0.000
Hg1 0.500 0.500 0.500

Space group = No. 225
Density of states at the Fermi level = 2.95 states/eV/cell
Calculated total energy = -0.8265 eV per atom

---

## Cs9K6Hg (PBE-GGA)

Data for a relaxed Cs9K6Hg crystal.

a = 11.879 Å, b = 11.879 Å, c = 13.302 Å
α = 116.52°, β = 116.52°, γ = 90.00°
Atoms (fractional coordinates):
Cs1 0.966 0.772 0.314
Cs2 0.348 0.542 0.314
Cs3 0.772 0.348 0.314
Cs4 0.542 0.966 0.314
Cs5 0.034 0.228 0.686
Cs6 0.652 0.458 0.686
Cs7 0.228 0.652 0.686
Cs8 0.458 0.034 0.686
Cs9 0.500 0.500 0.000
K1 0.715 0.909 0.000
K2 0.285 0.091 0.000
K3 0.909 0.285 0.000
K4 0.091 0.715 0.000
K5 0.828 0.828 0.655
K6 0.172 0.172 0.345
Hg1 0.000 0.000 0.000

Space group = No. 87
Density of states at the Fermi level = 16.38 states/eV/cell
Calculated total energy = -0.9282 eV per atom

---

## Cs3K5Hg2 (PBE-GGA)

Data for a relaxed Cs3K5Hg2 crystal.

a = 5.510 Å, b = 15.507 Å, c = 15.507 Å
α = 90.00°, β = 90.00°, γ = 90.00°
Atoms (fractional coordinates):
Cs1 0.000 0.330 0.830
Cs2 0.000 0.670 0.170
Cs3 0.000 0.170 0.330
Cs4 0.000 0.830 0.670
Cs5 0.000 0.000 0.000
Cs6 0.000 0.500 0.500
K1 0.500 0.231 0.075
K2 0.500 0.769 0.925
K3 0.500 0.925 0.231
K4 0.500 0.075 0.769
K5 0.500 0.269 0.575
K6 0.500 0.731 0.425
K7 0.500 0.575 0.731
K8 0.500 0.425 0.269
K9 0.500 0.000 0.500
K10 0.500 0.500 0.000
Hg1 0.000 0.117 0.617
Hg2 0.000 0.883 0.383
Hg3 0.000 0.383 0.117
Hg4 0.000 0.617 0.883

Space group = No. 127
Density of states at the Fermi level = 15.25 states/eV/cell
Calculated total energy = -0.9563 eV per atom

---

## Cs2K2Hg15 (PBE-GGA)

Data for a relaxed Cs2K2Hg15 crystal.

a = 8.784 Å, b = 8.784 Å, c = 8.784 Å
α = 78.62°, β = 78.62°, γ = 78.62°
Atoms (fractional coordinates):
Cs1 0.102 0.102 0.102
Cs2 0.898 0.898 0.898
K1 0.349 0.349 0.349
K2 0.651 0.651 0.651
Hg1 0.500 0.000 0.000
Hg2 0.000 0.000 0.500
Hg3 0.000 0.500 0.000
Hg4 0.000 0.691 0.309
Hg5 0.691 0.309 0.000
Hg6 0.309 0.000 0.691
Hg7 0.309 0.691 0.000
Hg8 0.691 0.000 0.309
Hg9 0.000 0.309 0.691
Hg10 0.162 0.619 0.619
Hg11 0.619 0.619 0.162
Hg12 0.619 0.162 0.619
Hg13 0.838 0.381 0.381
Hg14 0.381 0.381 0.838
Hg15 0.381 0.838 0.381

Space group = No. 166
Density of states at the Fermi level = 9.20 states/eV/cell
Calculated total energy = -0.5929 eV per atom

---

## CsKHg (PBE-GGA)

Data for a relaxed CsKHg crystal.

a = 5.291 Å, b = 8.437 Å, c = 9.262 Å
α = 117.08°, β = 106.60°, γ = 90.00°
Atoms (fractional coordinates):
Cs1 0.007 0.879 0.643
Cs2 0.438 0.310 0.505
K1 0.722 0.353 0.074
K2 0.722 0.837 0.074
Hg1 0.125 0.498 0.879
Hg2 0.320 0.692 0.268

Space group = No. 71
Density of states at the Fermi level = 4.17 states/eV/cell
Calculated total energy = -0.9165 eV per atom

---

## Cs2KHg6 (PBE-GGA)

Data for a relaxed Cs2KHg6 crystal.

a = 4.180 Å, b = 10.500 Å, c = 10.500 Å
α = 54.04°, β = 78.52°, γ = 78.52°
Atoms (fractional coordinates):
Cs1 0.341 0.159 0.159
Cs2 0.659 0.841 0.841
K1 0.500 0.500 0.500
Hg1 0.150 0.511 0.189
Hg2 0.850 0.489 0.811
Hg3 0.850 0.811 0.489
Hg4 0.000 0.172 0.828
Hg5 0.000 0.828 0.172
Hg6 0.150 0.189 0.511

Space group = No. 71
Density of states at the Fermi level = 5.20 states/eV/cell
Calculated total energy = -0.7305 eV per atom

---

## Cs2KHg (PBE-GGA)

Data for a relaxed Cs2KHg crystal.

a = 12.483 Å, b = 12.483 Å, c = 9.626 Å
α = 49.58°, β = 49.58°, γ = 90.00°
Atoms (fractional coordinates):
Cs1 0.722 0.125 0.250
Cs2 0.028 0.625 0.250
Cs3 0.375 0.278 0.750
Cs4 0.875 0.972 0.750
K1 0.500 0.500 0.000
K2 0.250 0.750 0.500
Hg1 0.000 0.000 0.000
Hg2 0.750 0.250 0.500

Space group = No. 122
Density of states at the Fermi level = 8.78 states/eV/cell
Calculated total energy = -0.8376 eV per atom

---

## Cs6K10Hg (PBE-GGA)

Data for a relaxed Cs6K10Hg crystal.

a = 8.797 Å, b = 13.654 Å, c = 13.654 Å
α = 120.00°, β = 90.00°, γ = 90.00°
Atoms (fractional coordinates):
Cs1 0.747 0.395 0.395
Cs2 0.747 0.000 0.605
Cs3 0.747 0.605 0.000
Cs4 0.253 0.605 0.605
Cs5 0.253 0.000 0.395
Cs6 0.253 0.395 0.000
K1 0.752 0.791 0.791
K2 0.752 0.000 0.209
K3 0.752 0.209 0.000
K4 0.248 0.209 0.209
K5 0.248 0.000 0.791
K6 0.248 0.791 0.000
K7 0.500 0.333 0.667
K8 0.500 0.667 0.333
K9 0.000 0.667 0.333
K10 0.000 0.333 0.667
Hg1 0.500 0.000 0.000

Space group = No. 162
Density of states at the Fermi level = 15.50 states/eV/cell
Calculated total energy = -0.9532 eV per atom

---

## Cs6K3Hg2 (PBE-GGA)

Data for a relaxed Cs6K3Hg2 crystal.

a = 6.657 Å, b = 6.657 Å, c = 20.805 Å
α = 99.21°, β = 99.21°, γ = 90.00°
Atoms (fractional coordinates):
Cs1 0.587 0.087 0.174
Cs2 0.087 0.587 0.174
Cs3 0.413 0.913 0.826
Cs4 0.913 0.413 0.826
Cs5 0.706 0.706 0.411
Cs6 0.294 0.294 0.589
K1 0.000 0.000 0.000
K2 0.824 0.824 0.648
K3 0.176 0.176 0.352
Hg1 0.463 0.463 0.927
Hg2 0.537 0.537 0.073

Space group = No. 139
Density of states at the Fermi level = 8.25 states/eV/cell
Calculated total energy = -0.8566 eV per atom

---

## Cs5KHg6 (PBE-GGA)

Data for a relaxed Cs5KHg6 crystal.

a = 7.594 Å, b = 9.355 Å, c = 10.652 Å
α = 108.68°, β = 102.13°, γ = 109.46°
Atoms (fractional coordinates):
Cs1 0.377 0.877 0.754
Cs2 0.695 0.695 0.390
Cs3 0.000 0.500 0.000
Cs4 0.305 0.305 0.610
Cs5 0.623 0.123 0.246
K1 0.000 0.000 0.000
Hg1 0.104 0.512 0.378
Hg2 0.274 0.866 0.378
Hg3 0.432 0.327 0.000
Hg4 0.568 0.673 0.000
Hg5 0.726 0.134 0.622
Hg6 0.896 0.488 0.622

Space group = No. 12
Density of states at the Fermi level = 8.78 states/eV/cell
Calculated total energy = -0.8025 eV per atom

---

## CsK3Hg4 (PBE-GGA)

Data for a relaxed CsK3Hg4 crystal.

a = 6.696 Å, b = 8.379 Å, c = 11.842 Å
α = 90.00°, β = 90.00°, γ = 90.00°
Atoms (fractional coordinates):
Cs1 0.000 0.500 0.000
Cs2 0.000 0.500 0.500
K1 0.000 0.000 0.000
K2 0.000 0.000 0.500
K3 0.644 0.000 0.750
K4 0.356 0.000 0.250
K5 0.522 0.500 0.750
K6 0.478 0.500 0.250
Hg1 0.500 0.803 0.000
Hg2 0.500 0.803 0.500
Hg3 0.500 0.197 0.000
Hg4 0.500 0.197 0.500
Hg5 0.174 0.815 0.750
Hg6 0.826 0.815 0.250
Hg7 0.826 0.185 0.250
Hg8 0.174 0.185 0.750

Space group = No. 51
Density of states at the Fermi level = 9.77 states/eV/cell
Calculated total energy = -0.8840 eV per atom

---

Number 1: formation energy from the elements -0.138 eV/atom. Number 2: formation energy from the elements -0.050 eV/atom. Number 3: formation energy from the elements -0.018 eV/atom. Number 4: formation energy from the elements -0.091 eV/atom. Number 5: formation energy from the elements -0.149 eV/atom. Number 6: formation energy from the elements -0.166 eV/atom. Number 7: formation energy from the elements -0.218 eV/atom. Number 8: formation energy from the elements -0.061 eV/atom. Number 9: formation energy from the elements 0.011 eV/atom. Number 10: formation energy from the elements -0.037 eV/atom. Number 11: formation energy from the elements -0.204 eV/atom. Number 12: formation energy from the elements -0.215 eV/atom.